--- w ---
Entry from Alexandria via LeMat-Bulk: LaPm6Dy12 after structural relaxation (PBE).

Output
M_tot (μB/cell): 0.00

Cell lengths 13.3006, 13.3006, 12.6418 Å; angles 90.00, 90.00, 120.00 degrees
Space group R-3m (No. 166, hexagonal axes)
Inequivalent atoms, fractional coordinates:
La  0.0000  0.0000  0.0000
Pm  0.0364  0.5182  0.6179
Dy  0.0000  0.2578  0.5000
Dy  0.0915  0.1831  0.2646

---

--- x ---
Entry from Alexandria via LeMat-Bulk: LaPm6Dy12 after structural relaxation (PBE).

Output
M_tot (μB/cell): 0.00

Cell lengths 12.2812, 12.2812, 14.5638 Å; angles 90.00, 90.00, 120.00 degrees
Space group R-3 (No. 148, hexagonal axes)
Inequivalent atoms, fractional coordinates:
La  0.0000  0.0000  0.0000
Pm  0.0263  0.5805  0.7210
Dy  0.0570  0.8719  0.8019
Dy  0.0683  0.1965  0.4043

---

Q: Which of them is the most stable? A: x.